1.
An optimized crystal structure of Hf2BeCdW, computed with PBE.

Cell lengths 4.699, 4.699, 4.261 Å; angles 90.00, 90.00, 90.00 degrees
Fractional coordinates of all 5 atoms:
Hf (0.000, 0.500, 0.000)
Hf (0.500, 0.000, 0.000)
Be (0.000, 0.000, 0.000)
Cd (0.500, 0.500, 0.500)
W (0.000, 0.000, 0.500)

Values from the calculation:
The formation energy comes out at 0.4431 eV/atom. Its total magnetic moment is 0.0 μB/cell.


2.
An optimized crystal structure of Be2CdHg, computed with PBE.

Cell lengths 4.641, 4.641, 4.592 Å; angles 101.32, 101.32, 40.82 degrees
Fractional coordinates of all 4 atoms:
Be (0.000, 0.000, 0.000)
Be (0.708, 0.708, 0.194)
Cd (0.470, 0.470, 0.431)
Hg (0.246, 0.246, 0.788)

Values from the calculation:
The value obtained for the energy above the most stable polymorph in this dataset is 134 meV per atom. The formation energy comes out at 0.4731 eV/atom. Its total magnetic moment is 0.0 μB/cell.


3.
An optimized crystal structure of Be2CdHg, computed with PBE.

Cell lengths 4.959, 4.959, 4.959 Å; angles 133.85, 133.85, 67.32 degrees
Fractional coordinates of all 4 atoms:
Be (0.000, 0.000, 0.000)
Be (0.750, 0.250, 0.500)
Cd (0.250, 0.750, 0.500)
Hg (0.500, 0.500, 0.000)

Values from the calculation:
The value obtained for the energy above the most stable polymorph in this dataset is 232 meV per atom. The formation energy comes out at 0.5710 eV/atom. Its total magnetic moment is 0.0 μB/cell.